Entry 1:
Here is an optimized crystal structure of Li6Ca3MnC6O18F2 from Alexandria. Energies are from PBEsol.

abc: 6.570 7.670 8.685
angles: 63.78 82.89 76.55
Element x y z (fractional)
O1 0.913 0.251 0.660
O2 0.253 0.529 0.438
O3 0.740 0.483 0.746
O4 0.221 0.028 0.524
O5 0.267 0.201 0.242
O6 0.003 0.837 0.858
O7 0.467 0.900 0.380
O8 0.274 0.588 0.668
O9 0.008 0.511 0.011
O10 0.753 0.243 0.331
O11 0.978 0.704 0.146
O12 0.765 0.949 0.563
O13 0.503 0.511 0.017
O14 0.490 0.835 0.848
O15 0.498 0.717 0.136
O16 0.379 0.281 0.688
O17 0.896 0.964 0.305
O18 0.723 0.532 0.473
C1 0.497 0.688 0.001
C2 0.302 0.465 0.596
C3 0.804 0.050 0.401
C4 0.996 0.687 0.003
C5 0.319 0.043 0.380
C6 0.792 0.421 0.627
Ca1 0.336 0.320 0.949
Ca2 0.030 0.378 0.365
Ca3 0.829 0.274 0.041
Li1 0.679 0.848 0.210
Li2 0.175 0.059 0.785
Li3 0.541 0.467 0.342
Li4 0.698 0.037 0.778
Li5 0.157 0.834 0.211
Li6 0.053 0.812 0.647
Mn1 0.535 0.755 0.642
F1 0.639 0.097 0.996
F2 0.137 0.099 0.994

Calculated values
density of states at the Fermi level	0.00	states/eV/cell
electronic total energy	-7.193	eV per atom

=====

Entry 2:
Here is an optimized crystal structure of NaScP2O7 from Alexandria. Energies are from PBEsol.

abc: 5.303 8.890 12.443
angles: 104.39 90.00 90.00
Element x y z (fractional)
P1 0.255 0.480 0.647
P2 0.745 0.520 0.353
P3 0.777 0.937 0.616
P4 0.755 0.020 0.853
P5 0.223 0.063 0.384
P6 0.723 0.437 0.116
P7 0.277 0.563 0.884
P8 0.245 0.980 0.147
Sc1 0.262 0.734 0.472
Sc2 0.238 0.234 0.972
Sc3 0.738 0.266 0.528
Sc4 0.762 0.766 0.028
O1 0.446 0.400 0.087
O2 0.718 0.898 0.734
O3 0.253 0.077 0.063
O4 0.273 0.888 0.365
O5 0.096 0.663 0.965
O6 0.991 0.900 0.154
O7 0.247 0.577 0.563
O8 0.509 0.400 0.654
O9 0.753 0.423 0.437
O10 0.539 0.138 0.866
O11 0.554 0.600 0.913
O12 0.227 0.388 0.865
O13 0.946 0.100 0.413
O14 0.461 0.862 0.134
O15 0.782 0.398 0.234
O16 0.773 0.612 0.135
O17 0.054 0.900 0.587
O18 0.904 0.337 0.035
O19 0.218 0.602 0.766
O20 0.009 0.100 0.846
O21 0.747 0.923 0.937
O22 0.961 0.638 0.366
O23 0.596 0.837 0.535
O24 0.282 0.102 0.266
O25 0.404 0.163 0.465
O26 0.491 0.600 0.346
O27 0.727 0.112 0.635
O28 0.039 0.362 0.634
Na1 0.269 0.144 0.690
Na2 0.231 0.644 0.190
Na3 0.769 0.356 0.810
Na4 0.731 0.856 0.310

Calculated values
density of states at the Fermi level	0.00	states/eV/cell
electronic total energy	-7.763	eV per atom

=====

Entry 3:
Here is an optimized crystal structure of SiAgPb2 from Alexandria. Energies are from PBEsol.

abc: 4.750 5.265 4.750
angles: 116.82 90.00 116.82
Element x y z (fractional)
Pb1 0.750 0.500 0.250
Pb2 0.250 0.500 0.750
Si1 0.000 0.000 0.000
Ag1 0.500 0.000 0.500

Calculated values
density of states at the Fermi level	1.94	states/eV/cell
electronic total energy	-3.927	eV per atom

=====

Entry 4:
Here is an optimized crystal structure of Ca3PbN from Alexandria. Energies are from PBEsol.

abc: 4.870 4.870 4.870
angles: 90.00 90.00 90.00
Element x y z (fractional)
Ca1 0.500 0.000 0.500
Ca2 0.000 0.500 0.500
Ca3 0.500 0.500 0.000
N1 0.500 0.500 0.500
Pb1 0.000 0.000 0.000

Calculated values
density of states at the Fermi level	4.28	states/eV/cell
electronic total energy	-4.630	eV per atom

=====

Entry 5:
Here is an optimized crystal structure of BeAl2 from Alexandria. Energies are from PBEsol.

abc: 2.726 2.726 11.612
angles: 96.74 96.74 90.00
Element x y z (fractional)
Al1 0.928 0.928 0.855
Al2 0.322 0.822 0.645
Al3 0.072 0.072 0.145
Al4 0.178 0.678 0.355
Be1 0.750 0.250 0.500
Be2 0.500 0.500 0.000

Calculated values
formation enthalpy at 0 K	0.524	eV/f.u.
density of states at the Fermi level	1.63	states/eV/cell
electronic total energy	-3.886	eV per atom

=====

Entry 6:
Here is an optimized crystal structure of La5Cu from Alexandria. Energies are from PBEsol.

abc: 3.647 3.647 13.428
angles: 90.00 90.00 90.00
Element x y z (fractional)
Cu1 0.500 0.500 0.500
La1 0.000 0.000 0.000
La2 0.000 0.000 0.627
La3 0.000 0.000 0.373
La4 0.500 0.500 0.814
La5 0.500 0.500 0.186

Calculated values
formation enthalpy at 0 K	-0.148	eV/f.u.
offset from the most stable computed form	0.0	meV/atom
density of states at the Fermi level	8.39	states/eV/cell
electronic total energy	-5.202	eV per atom

=====

Entry 7:
Here is an optimized crystal structure of Fe3Co5 from Alexandria. Energies are from PBEsol.

abc: 2.757 5.677 6.194
angles: 117.28 90.00 90.00
Element x y z (fractional)
Co1 0.500 0.616 0.000
Co2 0.000 0.999 0.241
Co3 0.000 0.758 0.759
Co4 0.500 0.376 0.502
Co5 0.500 0.874 0.498
Fe1 0.500 0.126 0.000
Fe2 0.000 0.503 0.255
Fe3 0.000 0.248 0.745

Calculated values
formation enthalpy at 0 K	0.340	eV/f.u.
density of states at the Fermi level	7.34	states/eV/cell
electronic total energy	-8.154	eV per atom

=====

Entry 8:
Here is an optimized crystal structure of CaY2CrBi from Alexandria. Energies are from PBEsol.

abc: 5.153 5.153 5.278
angles: 90.00 90.00 90.00
Element x y z (fractional)
Cr1 0.000 0.000 0.000
Y1 0.500 0.000 0.000
Y2 0.000 0.500 0.000
Bi1 0.000 0.000 0.500
Ca1 0.500 0.500 0.500

Calculated values
formation enthalpy at 0 K	0.910	eV/f.u.
density of states at the Fermi level	4.62	states/eV/cell
electronic total energy	-5.879	eV per atom

=====

Entry 9:
Here is an optimized crystal structure of CaReTe2 from Alexandria. Energies are from PBEsol.

abc: 3.833 3.833 9.625
angles: 78.51 78.51 60.00
Element x y z (fractional)
Te1 0.888 0.888 0.335
Te2 0.112 0.112 0.665
Re1 0.500 0.500 0.500
Ca1 0.000 0.000 0.000

Calculated values
offset from the most stable computed form	417.7	meV/atom
density of states at the Fermi level	3.01	states/eV/cell
electronic total energy	-5.447	eV per atom

=====

Entry 10:
Here is an optimized crystal structure of CuNi2Ir from Alexandria. Energies are from PBEsol.

abc: 3.607 3.607 4.384
angles: 114.29 114.29 90.00
Element x y z (fractional)
Ir1 0.000 0.000 0.000
Cu1 0.500 0.500 0.000
Ni1 0.750 0.250 0.500
Ni2 0.250 0.750 0.500

Calculated values
formation enthalpy at 0 K	0.318	eV/f.u.
density of states at the Fermi level	5.55	states/eV/cell
electronic total energy	-6.539	eV per atom

=====

Entry 11:
Here is an optimized crystal structure of ScNiAs2 from Alexandria. Energies are from PBEsol.

abc: 2.916 3.496 6.144
angles: 90.00 90.00 90.00
Element x y z (fractional)
As1 0.000 0.000 0.224
As2 0.000 0.000 0.776
Sc1 0.500 0.500 0.500
Ni1 0.500 0.500 0.000

Calculated values
formation enthalpy at 0 K	-1.414	eV/f.u.
density of states at the Fermi level	4.12	states/eV/cell
electronic total energy	-6.097	eV per atom

=====

Entry 12:
Here is an optimized crystal structure of K2InW from Alexandria. Energies are from PBEsol.

abc: 4.128 4.128 5.831
angles: 90.00 90.00 90.00
Element x y z (fractional)
K1 0.500 0.000 0.000
K2 0.000 0.500 0.000
W1 0.500 0.500 0.500
In1 0.000 0.000 0.500

Calculated values
formation enthalpy at 0 K	5.010	eV/f.u.
density of states at the Fermi level	1.81	states/eV/cell
electronic total energy	-3.512	eV per atom